First-principles (PBE) data for Ac10Tl3Sn3 after structural relaxation, as listed in the Alexandria database.

* ΔE_f: -678.6 kJ/mol of formula units

abc: 9.8310 9.8310 7.4512
angles: 90.00 90.00 120.00
Closest atoms and distances in Å follow each position.
Space group P-62m (No. 189)
Unique sites:
Ac: 0.0000 0.2442 0.0000 (multiplicity 3)  3 Sn 3.40-3.55
Ac: 0.0000 0.7573 0.5000 (multiplicity 3)  3 Tl 3.44-3.50
Ac: 0.3333 0.6667 0.2466 (multiplicity 4)  3 Sn 3.53, 3 Tl 3.55, 2 Ac 3.68-3.78
Tl: 0.0000 0.4009 0.5000 (multiplicity 3)  7 Ac 3.44-3.55
Sn: 0.0000 0.6049 0.0000 (multiplicity 3)  7 Ac 3.40-3.55

First-principles (PBE) data for Ge3AsPd after structural relaxation, as listed in the Alexandria database.

* ΔE_f: 409.2 kJ/mol of formula units

abc: 4.8706 4.8706 4.8706
angles: 90.00 90.00 90.00
Closest atoms and distances in Å follow each position.
Space group Pm-3m (No. 221)
Unique sites:
Ge: 0.0000 0.0000 0.5000 (multiplicity 3)  2 As 2.44
As: 0.0000 0.0000 0.0000 (multiplicity 1)  6 Ge 2.44
Pd: 0.5000 0.5000 0.5000 (multiplicity 1)  12 Ge 3.44

First-principles (PBE) data for LaErGa2Ir2 after structural relaxation, as listed in the Alexandria database.

* ΔE_f: -459.8 kJ/mol of formula units

abc: 4.4215 4.4215 7.3666
angles: 90.00 90.00 120.00
Closest atoms and distances in Å follow each position.
Space group P-3m1 (No. 164)
Unique sites:
La: 0.0000 0.0000 0.0000 (multiplicity 1)  6 Ir 3.28, 6 Ga 3.29
Er: 0.0000 0.0000 0.5000 (multiplicity 1)  6 Ga 3.01, 6 Ir 3.03
Ga: 0.3333 0.6667 0.2825 (multiplicity 2)  3 Ir 2.55
Ir: 0.3333 0.6667 0.7206 (multiplicity 2)  3 Ga 2.55

First-principles (PBE) data for LiTi3Br after structural relaxation, as listed in the Alexandria database.

* ΔE_f (raw): 0.579 eV/atom

abc: 4.7250 4.7250 4.7250
angles: 90.00 90.00 90.00
Closest atoms and distances in Å follow each position.
Space group Pm-3m (No. 221)
Unique sites:
Li: 0.0000 0.0000 0.0000 (multiplicity 1)  12 Ti 3.34
Ti: 0.0000 0.5000 0.5000 (multiplicity 3)  2 Br 2.36
Br: 0.5000 0.5000 0.5000 (multiplicity 1)  6 Ti 2.36

Repeat the first record exactly.
First-principles (PBE) data for Ac10Tl3Sn3 after structural relaxation, as listed in the Alexandria database.

* ΔE_f: -678.6 kJ/mol of formula units

abc: 9.8310 9.8310 7.4512
angles: 90.00 90.00 120.00
Closest atoms and distances in Å follow each position.
Space group P-62m (No. 189)
Unique sites:
Ac: 0.0000 0.2442 0.0000 (multiplicity 3)  3 Sn 3.40-3.55
Ac: 0.0000 0.7573 0.5000 (multiplicity 3)  3 Tl 3.44-3.50
Ac: 0.3333 0.6667 0.2466 (multiplicity 4)  3 Sn 3.53, 3 Tl 3.55, 2 Ac 3.68-3.78
Tl: 0.0000 0.4009 0.5000 (multiplicity 3)  7 Ac 3.44-3.55
Sn: 0.0000 0.6049 0.0000 (multiplicity 3)  7 Ac 3.40-3.55